# 1
The following is a PBE calculation of a relaxed CaScAu2 crystal, from Alexandria.

Cell: 3.511 3.477 7.167 Å, 90.00 90.08 90.00°
Space group P2/m (No. 10)
Asymmetric unit:
Ca  0.000  0.000  0.000
Sc  0.000  0.000  0.500
Au  0.500  0.500  0.286

- Formation energy from the elements: -76.6 kJ/mol of atoms

---

# 2
The following is a PBE calculation of a relaxed Ca2ScAu6 crystal, from Alexandria.

Cell: 5.246 15.744 5.231 Å, 90.00 119.95 90.00°
Space group C2/m (No. 12)
Asymmetric unit:
Ca  0.000  0.168  0.000
Sc  0.000  0.000  0.500
Au  0.175  0.341  0.342
Au  0.176  0.500  0.832

- Formation energy from the elements: -62.4 kJ/mol of atoms

---

# 3
The following is a PBE calculation of a relaxed Ca2ScAu crystal, from Alexandria.

Cell: 3.818 5.033 12.579 Å, 90.00 90.00 90.00°
Space group Amm2 (No. 38)
Asymmetric unit:
Ca  0.000  0.000  0.000
Ca  0.500  0.000  0.305
Sc  0.000  0.000  0.695
Au  0.500  0.000  0.542

- Formation energy from the elements: -27.0 kJ/mol of atoms

---

# 4
The following is a PBE calculation of a relaxed Ca2ScAu crystal, from Alexandria.

Cell: 5.015 5.015 4.217 Å, 90.00 90.00 90.00°
Space group P4/mmm (No. 123)
Asymmetric unit:
Ca  0.000  0.500  0.000
Sc  0.000  0.000  0.500
Au  0.500  0.500  0.500

- Formation energy from the elements: -16.2 kJ/mol of atoms